Below is a geometry-optimized La2CeSm4 structure, with properties calculated at the PBE-GGA level.

Lattice parameters (Å, degrees): 3.6590 3.6601 20.8260 94.94 90.00 119.99
Last column: nearest neighbours and their distance in Å.
Fractional coordinates of all 7 atoms:
Sm: 0.9032 0.8065 0.9474  9 Sm 3.61-3.66, 3 La 3.71
Sm: 0.4301 0.8603 0.5282  3 Ce 3.56-3.57, 3 La 3.66-3.67, 6 Sm 3.66
Sm: 0.0040 0.0080 0.2416  6 La 3.62-3.73, 6 Sm 3.66
Sm: 0.5226 0.0452 0.8061  3 Ce 3.58, 9 Sm 3.61-3.66
Ce: 0.8094 0.6188 0.6666  6 Sm 3.56-3.58, 6 Ce 3.66
La: 0.6179 0.2357 0.0943  6 La 3.66, 6 Sm 3.70-3.73
La: 0.7142 0.4283 0.3838  6 Sm 3.62-3.67, 6 La 3.66

Space group: Cm (8)
Calculated total energy, eV/atom: -4.899
Formation energy, meV/atom: 53
Mass density, Mg/m³: 7.04